## BaHg2Sb (PBE)

Data for BaHg2Sb after structural relaxation.

Structure (POSCAR):
```
BaHg2Sb
1.0
-0.1580 4.2993 -2.0975
-3.5229 1.4781 3.2952
3.7950 1.7384 3.2775
Ba Hg Sb
1 2 1
direct
0.0000 0.5000 0.5000 Ba
0.0000 0.0000 0.0000 Hg
0.5000 0.5000 0.0000 Hg
0.5000 0.0000 0.5000 Sb
```

Summary:
- Calculated density: 8.56 Mg/m³
- Energy relative to the elements, uncorrected: -416.9 meV per atom
- E: -2.08 eV/atom